Record 1
This record from Alexandria via LeMat-Bulk describes crystalline PmDy3Er6Tm2 at its relaxed geometry. The functional is PBE.

Geometry as POSCAR:
```
PmDy3Er6Tm2
1.0
3.051 -5.278 0.000
3.051 5.278 0.000
-2.025 0.000 11.497
Pm Dy Er Tm
1 3 6 2
direct
0.000 0.000 0.000
0.167 0.833 0.500
0.500 0.500 0.500
0.833 0.167 0.500
0.084 0.418 0.250
0.250 0.250 0.750
0.418 0.084 0.250
0.582 0.916 0.750
0.750 0.750 0.250
0.916 0.582 0.750
0.333 0.667 0.000
0.667 0.333 0.000
```

Summary:
**Energy of formation**: 21 meV per atom
**DOS at the Fermi energy**: 1.33 states/eV/atom



Record 2
This record from Alexandria via LeMat-Bulk describes crystalline PmDyErTm at its relaxed geometry. The functional is PBE.

Geometry as POSCAR:
```
PmDyErTm
1.0
1.785 1.030 11.464
-1.785 1.030 11.464
0.000 -2.061 11.464
Pm Dy Er Tm
1 1 1 1
direct
0.000 0.000 0.000
0.581 0.581 0.581
0.165 0.165 0.165
0.750 0.750 0.750
```

Summary:
**Energy above the most stable polymorph in this dataset**: 0.0 meV/atom
**Energy of formation**: 16 meV per atom
**DOS at the Fermi energy**: 1.41 states/eV/atom



Record 3
This record from Alexandria via LeMat-Bulk describes crystalline PmDyErTm2 at its relaxed geometry. The functional is PBE.

Geometry as POSCAR:
```
PmDyErTm2
1.0
3.165 -8.287 0.000
3.165 8.287 0.000
0.000 0.000 6.326
Pm Dy Er Tm
2 2 2 4
direct
0.158 0.842 0.750
0.842 0.158 0.250
0.344 0.656 0.750
0.656 0.344 0.250
0.248 0.752 0.250
0.752 0.248 0.750
0.250 0.250 0.000
0.250 0.250 0.500
0.750 0.750 0.000
0.750 0.750 0.500
```

Summary:
**Energy of formation**: 365 meV per atom
**DOS at the Fermi energy**: 1.68 states/eV/atom



Record 4
This record from Alexandria via LeMat-Bulk describes crystalline Pm4DyEr2Tm at its relaxed geometry. The functional is PBE.

Geometry as POSCAR:
```
Pm4DyEr2Tm
1.0
6.208 0.000 0.000
0.000 3.590 0.000
-2.087 0.000 11.599
Pm Dy Er Tm
4 1 2 1
direct
0.250 0.000 0.249
0.250 0.500 0.751
0.750 0.000 0.751
0.750 0.500 0.249
0.000 0.000 0.500
0.500 0.000 0.000
0.500 0.500 0.500
0.000 0.500 0.000
```

Summary:
**Energy of formation**: 17 meV per atom
**DOS at the Fermi energy**: 1.27 states/eV/atom



Record 5
This record from Alexandria via LeMat-Bulk describes crystalline Pm2Dy2ErTm2 at its relaxed geometry. The functional is PBE.

Geometry as POSCAR:
```
Pm2Dy2ErTm2
1.0
2.827 1.632 8.128
-2.827 1.632 8.128
0.000 -3.264 8.128
Pm Dy Er Tm
2 2 1 2
direct
0.139 0.139 0.139
0.861 0.861 0.861
0.285 0.285 0.285
0.715 0.715 0.715
0.000 0.000 0.000
0.428 0.428 0.428
0.572 0.572 0.572
```

Summary:
**Energy of formation**: 139 meV per atom
**DOS at the Fermi energy**: 2.42 states/eV/atom



Record 6
This record from Alexandria via LeMat-Bulk describes crystalline Pm2DyEr3Tm6 at its relaxed geometry. The functional is PBE.

Geometry as POSCAR:
```
Pm2DyEr3Tm6
1.0
3.054 -5.285 0.000
3.054 5.285 0.000
-2.031 0.000 11.471
Pm Dy Er Tm
2 1 3 6
direct
0.167 0.833 0.000
0.833 0.167 0.000
0.500 0.500 0.000
0.000 0.000 0.500
0.333 0.667 0.500
0.667 0.333 0.500
0.082 0.415 0.747
0.252 0.252 0.253
0.415 0.082 0.747
0.585 0.918 0.253
0.748 0.748 0.747
0.918 0.585 0.253
```

Summary:
**Energy of formation**: 23 meV per atom
**DOS at the Fermi energy**: 1.38 states/eV/atom



Record 7
This record from Alexandria via LeMat-Bulk describes crystalline Pm2Dy6Er3Tm at its relaxed geometry. The functional is PBE.

Geometry as POSCAR:
```
Pm2Dy6Er3Tm
1.0
3.071 -5.314 0.000
3.071 5.314 0.000
-2.036 0.000 11.576
Pm Dy Er Tm
2 6 3 1
direct
0.167 0.833 0.000
0.833 0.167 0.000
0.083 0.415 0.747
0.252 0.252 0.253
0.415 0.083 0.747
0.585 0.917 0.253
0.748 0.748 0.747
0.917 0.585 0.253
0.000 0.000 0.500
0.334 0.666 0.500
0.666 0.334 0.500
0.500 0.500 0.000
```

Summary:
**Energy of formation**: 18 meV per atom
**DOS at the Fermi energy**: 1.27 states/eV/atom



Record 8
This record from Alexandria via LeMat-Bulk describes crystalline Pm2Dy4ErTm2 at its relaxed geometry. The functional is PBE.

Geometry as POSCAR:
```
Pm2Dy4ErTm2
1.0
5.980 0.000 0.000
2.833 5.965 0.000
2.920 0.304 8.053
Pm Dy Er Tm
2 4 1 2
direct
0.234 0.323 0.343
0.766 0.677 0.657
0.116 0.128 0.762
0.239 0.575 0.883
0.761 0.425 0.117
0.884 0.872 0.238
0.500 0.000 0.000
0.320 0.771 0.446
0.680 0.229 0.554
```

Summary:
**Energy of formation**: 86 meV per atom
**DOS at the Fermi energy**: 1.60 states/eV/atom